A plane-wave DFT calculation with meta-GGA SCAN was carried out for LiMoN3 at its PBEsol-relaxed geometry.

Properties
N(E_F) (states/eV/cell): 2.62
Formation energy without anion corrections (eV per atom): 1.637

```
LiMoN3
1.0
3.419 0.000 0.000
0.000 3.419 0.000
0.000 0.000 3.419
Li Mo N
1 1 3
Cartesian
0.000 0.000 0.000 Li
1.709 1.709 1.709 Mo
0.000 0.000 1.709 N
0.000 1.709 0.000 N
1.709 0.000 0.000 N
```

***

A plane-wave DFT calculation with meta-GGA SCAN was carried out for La3Mg at its PBEsol-relaxed geometry.

Properties
N(E_F) (states/eV/cell): 4.32
Energy relative to the elements (meV/atom): -43

```
La3Mg
1.0
5.903 -1.794 0.000
5.903 1.794 0.000
-1.228 0.000 5.914
La Mg
3 1
Cartesian
0.000 0.000 0.000 La
1.966 0.000 4.357 La
8.612 0.000 1.557 La
5.289 0.000 2.957 Mg
```

***

A plane-wave DFT calculation with meta-GGA SCAN was carried out for Sb2P5O16 at its PBEsol-relaxed geometry.

Properties
N(E_F) (states/eV/cell): 0.38
Formation energy without anion corrections (eV per atom): -2.079

```
Sb2P5O16
1.0
7.545 0.000 0.000
0.000 10.359 0.000
-3.780 0.000 9.877
Sb P O
4 10 32
Cartesian
0.000 1.325 0.000 Sb
-1.890 9.035 4.939 Sb
1.823 3.739 5.998 Sb
3.713 6.620 1.059 Sb
2.407 3.551 0.110 P
0.517 6.809 5.049 P
1.861 2.037 2.532 P
-0.029 8.323 7.471 P
0.716 0.438 6.267 P
2.606 9.922 1.329 P
1.461 3.947 9.399 P
3.351 6.412 4.460 P
3.543 0.906 6.531 P
5.433 9.453 1.593 P
-2.455 2.830 9.190 O
-0.564 7.530 4.251 O
0.438 2.003 1.970 O
-1.452 8.356 6.909 O
1.787 0.123 0.177 O
-0.103 10.237 5.115 O
2.104 4.947 0.535 O
0.214 5.412 5.474 O
0.518 1.844 6.715 O
2.408 8.515 1.777 O
2.814 2.666 1.402 O
0.924 7.693 6.340 O
2.415 0.532 2.605 O
0.525 9.827 7.544 O
-0.063 3.436 9.113 O
1.828 6.924 4.174 O
2.056 2.687 3.843 O
0.165 7.672 8.781 O
2.248 0.201 5.851 O
4.138 10.159 0.913 O
1.988 4.365 8.032 O
3.878 5.994 3.093 O
5.157 5.096 0.522 O
3.267 5.263 5.461 O
3.449 2.418 6.423 O
5.340 7.941 1.485 O
5.940 2.719 0.123 O
4.050 7.640 5.062 O
3.552 0.407 7.987 O
5.442 9.953 3.048 O
4.722 0.376 5.723 O
6.612 9.983 0.784 O
```

***

A plane-wave DFT calculation with meta-GGA SCAN was carried out for ZrTaOs at its PBEsol-relaxed geometry.

Properties
N(E_F) (states/eV/cell): 2.63
Energy relative to the elements (meV/atom): -160
ΔE to the lowest computed polymorph (meV per atom): 276

```
ZrTaOs
1.0
0.000 3.124 3.124
3.124 0.000 3.124
3.124 3.124 0.000
Zr Ta Os
1 1 1
Cartesian
0.000 0.000 0.000 Zr
3.124 3.124 3.124 Ta
1.562 1.562 1.562 Os
```

***

A plane-wave DFT calculation with meta-GGA SCAN was carried out for Na4CoO4 at its PBEsol-relaxed geometry.

Properties
Formation energy without anion corrections (eV per atom): -1.493

```
Na4CoO4
1.0
5.667 0.000 0.000
1.685 5.452 0.000
2.384 -0.546 7.533
Na Co O
8 2 8
Cartesian
1.467 1.116 3.078 Na
1.368 1.120 0.077 Na
3.095 3.787 1.142 Na
4.235 1.176 4.758 Na
5.501 3.730 2.775 Na
6.641 1.119 6.391 Na
8.368 3.786 7.455 Na
8.269 3.790 4.454 Na
5.471 3.772 5.691 Co
4.265 1.134 1.841 Co
2.573 -0.389 5.612 O
4.505 2.585 6.598 O
3.434 2.335 2.879 O
2.881 0.061 1.628 O
6.856 4.845 5.904 O
6.302 2.571 4.654 O
5.231 2.321 0.935 O
7.163 5.295 1.920 O
```

***

A plane-wave DFT calculation with meta-GGA SCAN was carried out for LiBi2Pd at its PBEsol-relaxed geometry.

Properties
N(E_F) (states/eV/cell): 0.97
Energy relative to the elements (meV/atom): -287

```
LiBi2Pd
1.0
0.000 3.490 3.490
3.490 0.000 3.490
3.490 3.490 0.000
Li Bi Pd
1 2 1
Cartesian
0.000 0.000 0.000 Li
1.745 1.745 1.745 Bi
5.235 5.235 5.235 Bi
3.490 3.490 3.490 Pd
```

***

A plane-wave DFT calculation with meta-GGA SCAN was carried out for LiTiNF2 at its PBEsol-relaxed geometry.

Properties
N(E_F) (states/eV/cell): 0.02
Formation energy without anion corrections (eV per atom): -2.213

```
LiTiNF2
1.0
3.952 0.000 0.000
0.000 3.952 0.000
0.000 0.000 3.831
Li Ti N F
1 1 1 2
Cartesian
0.000 0.000 0.000 Li
1.976 1.976 1.916 Ti
1.976 1.976 0.000 N
0.000 1.976 1.916 F
1.976 0.000 1.916 F
```

***

A plane-wave DFT calculation with meta-GGA SCAN was carried out for Li9Mn2Co5O16 at its PBEsol-relaxed geometry.

Properties
N(E_F) (states/eV/cell): 4.97
Formation energy without anion corrections (eV per atom): -2.014
ΔE to the lowest computed polymorph (meV per atom): 22

```
Li9Mn2Co5O16
1.0
4.839 0.000 0.000
0.000 5.643 0.000
-1.606 0.000 9.334
Li Mn Co O
9 2 5 16
Cartesian
0.000 0.000 0.000 Li
-0.066 5.636 7.173 Li
0.811 4.292 2.230 Li
0.830 1.346 2.202 Li
0.006 2.835 7.082 Li
3.226 2.835 2.252 Li
2.403 1.346 7.132 Li
2.422 4.292 7.105 Li
3.299 5.636 2.161 Li
-0.803 1.415 4.667 Mn
0.000 2.823 0.000 Mn
-0.803 4.235 4.667 Co
1.616 0.000 4.667 Co
2.419 1.395 0.000 Co
1.616 2.826 4.667 Co
2.419 4.250 0.000 Co
0.001 0.001 3.646 O
-0.002 2.828 3.661 O
-0.780 1.488 8.261 O
-0.780 4.159 8.263 O
0.810 1.414 5.681 O
1.607 2.823 1.034 O
0.819 4.235 5.645 O
1.718 5.642 1.049 O
1.514 5.642 8.286 O
2.414 4.235 3.690 O
2.423 1.414 3.654 O
1.626 2.823 8.300 O
4.013 4.159 1.072 O
4.013 1.488 1.073 O
3.231 0.001 5.688 O
3.235 2.828 5.673 O
```

***

A plane-wave DFT calculation with meta-GGA SCAN was carried out for AlZnW4 at its PBEsol-relaxed geometry.

Properties
N(E_F) (states/eV/cell): 4.25
Energy relative to the elements (meV/atom): 619

```
AlZnW4
1.0
0.000 3.698 3.698
3.698 0.000 3.698
3.698 3.698 0.000
Al Zn W
1 1 4
Cartesian
0.000 0.000 0.000 Al
1.849 1.849 1.849 Zn
4.619 2.777 2.777 W
2.777 4.619 2.777 W
2.777 2.777 4.619 W
4.619 4.619 4.619 W
```

***

A plane-wave DFT calculation with meta-GGA SCAN was carried out for Si3NiAs at its PBEsol-relaxed geometry.

Properties
N(E_F) (states/eV/cell): 3.45
Formation energy without anion corrections (eV per atom): 1.576

```
Si3NiAs
1.0
4.613 0.000 0.000
0.000 4.613 0.000
0.000 0.000 4.613
Si Ni As
3 1 1
Cartesian
0.000 0.000 2.306 Si
0.000 2.306 0.000 Si
2.306 0.000 0.000 Si
2.306 2.306 2.306 Ni
0.000 0.000 0.000 As
```

***

A plane-wave DFT calculation with meta-GGA SCAN was carried out for MgTl at its PBEsol-relaxed geometry.

Properties
N(E_F) (states/eV/cell): 1.19
Energy relative to the elements (meV/atom): -96

```
MgTl
1.0
3.421 0.000 0.000
0.000 5.554 0.000
0.000 0.000 5.129
Mg Tl
2 2
Cartesian
0.855 1.389 0.490 Mg
2.565 4.166 4.639 Mg
0.855 4.166 2.068 Tl
2.565 1.389 3.061 Tl
```

***

A plane-wave DFT calculation with meta-GGA SCAN was carried out for La2BeB at its PBEsol-relaxed geometry.

Properties
N(E_F) (states/eV/cell): 3.03
Energy relative to the elements (meV/atom): 321
ΔE to the lowest computed polymorph (meV per atom): 0

```
La2BeB
1.0
0.000 3.439 3.439
3.439 0.000 3.439
3.439 3.439 0.000
La Be B
2 1 1
Cartesian
1.719 1.719 1.719 La
5.158 5.158 5.158 La
0.000 0.000 0.000 Be
3.439 3.439 3.439 B
```

***

A plane-wave DFT calculation with meta-GGA SCAN was carried out for CrTcIr2 at its PBEsol-relaxed geometry.

Properties
N(E_F) (states/eV/cell): 4.24
Energy relative to the elements (meV/atom): -263
ΔE to the lowest computed polymorph (meV per atom): 85

```
CrTcIr2
1.0
2.669 0.000 0.000
0.000 2.669 0.000
0.000 0.000 7.482
Cr Tc Ir
1 1 2
Cartesian
0.000 0.000 0.000 Cr
0.000 0.000 3.741 Tc
1.334 1.334 1.793 Ir
1.334 1.334 5.689 Ir
```

***

A plane-wave DFT calculation with meta-GGA SCAN was carried out for TaSnO2F at its PBEsol-relaxed geometry.

Properties
N(E_F) (states/eV/cell): 3.02
Formation energy without anion corrections (eV per atom): -1.787

```
TaSnO2F
1.0
4.007 0.000 0.000
0.000 4.007 0.000
0.000 0.000 4.295
Ta Sn O F
1 1 2 1
Cartesian
0.000 0.000 0.000 Ta
2.004 2.004 2.148 Sn
0.000 2.004 0.000 O
2.004 0.000 0.000 O
0.000 0.000 2.148 F
```

***

A plane-wave DFT calculation with meta-GGA SCAN was carried out for KCo2Si at its PBEsol-relaxed geometry.

Properties
N(E_F) (states/eV/cell): 3.07
Formation energy without anion corrections (eV per atom): 1.104

```
KCo2Si
1.0
4.375 0.000 0.000
0.000 4.375 0.000
0.000 0.000 2.818
K Co Si
1 2 1
Cartesian
0.000 0.000 0.000 K
0.000 2.188 1.409 Co
2.188 0.000 1.409 Co
2.188 2.188 0.000 Si
```

***

A plane-wave DFT calculation with meta-GGA SCAN was carried out for WBrCl2 at its PBEsol-relaxed geometry.

Properties
N(E_F) (states/eV/cell): 2.24
Formation energy without anion corrections (eV per atom): 1.031
ΔE to the lowest computed polymorph (meV per atom): 1344

```
WBrCl2
1.0
2.976 -4.490 0.000
2.976 4.490 0.000
-1.679 0.000 2.801
W Br Cl
1 1 2
Cartesian
0.000 0.000 0.000 W
2.976 0.000 0.000 Br
0.648 2.245 1.400 Cl
0.648 -2.245 1.400 Cl
```

***

A plane-wave DFT calculation with meta-GGA SCAN was carried out for CsAg2Se2 at its PBEsol-relaxed geometry.

Properties
N(E_F) (states/eV/cell): 3.51
Formation energy without anion corrections (eV per atom): -0.532

```
CsAg2Se2
1.0
-2.169 2.169 6.990
2.169 -2.169 6.990
2.169 2.169 -6.990
Cs Ag Se
1 2 2
Cartesian
0.000 0.000 0.000 Cs
2.169 0.000 3.495 Ag
0.000 2.169 3.495 Ag
0.000 0.000 5.029 Se
0.000 0.000 8.950 Se
```

***

A plane-wave DFT calculation with meta-GGA SCAN was carried out for CoSb2 at its PBEsol-relaxed geometry.

Properties
N(E_F) (states/eV/cell): 1.86
Formation energy without anion corrections (eV per atom): -0.119

```
CoSb2
1.0
5.524 0.000 0.000
0.000 6.330 0.000
0.000 0.000 3.359
Co Sb
2 4
Cartesian
0.000 0.000 0.000 Co
2.762 3.165 1.679 Co
1.117 2.251 0.000 Sb
1.645 5.416 1.679 Sb
3.879 0.913 1.679 Sb
4.408 4.078 0.000 Sb
```

***

A plane-wave DFT calculation with meta-GGA SCAN was carried out for MgOs3 at its PBEsol-relaxed geometry.

Properties
N(E_F) (states/eV/cell): 1.62
Energy relative to the elements (meV/atom): 56

```
MgOs3
1.0
2.761 0.000 0.000
-1.380 2.391 0.000
0.000 0.000 8.846
Mg Os
1 3
Cartesian
0.000 0.000 0.000 Mg
0.000 0.000 4.423 Os
0.000 1.594 2.332 Os
0.000 1.594 6.515 Os
```

***

A plane-wave DFT calculation with meta-GGA SCAN was carried out for SiP2Rh at its PBEsol-relaxed geometry.

Properties
N(E_F) (states/eV/cell): 2.24
Formation energy without anion corrections (eV per atom): 0.395

```
SiP2Rh
1.0
0.000 3.005 3.005
3.005 0.000 3.005
3.005 3.005 0.000
Si P Rh
1 2 1
Cartesian
0.000 0.000 0.000 Si
3.005 3.005 3.005 P
4.508 4.508 4.508 P
1.503 1.503 1.503 Rh
```

***

A plane-wave DFT calculation with meta-GGA SCAN was carried out for HfSc2Os at its PBEsol-relaxed geometry.

Properties
N(E_F) (states/eV/cell): 4.90
Energy relative to the elements (meV/atom): -45

```
HfSc2Os
1.0
0.000 3.324 3.324
3.324 0.000 3.324
3.324 3.324 0.000
Hf Sc Os
1 2 1
Cartesian
0.000 0.000 0.000 Hf
1.662 1.662 1.662 Sc
4.986 4.986 4.986 Sc
3.324 3.324 3.324 Os
```

***

A plane-wave DFT calculation with meta-GGA SCAN was carried out for LaMg2Tl2 at its PBEsol-relaxed geometry.

Properties
N(E_F) (states/eV/cell): 1.45
Energy relative to the elements (meV/atom): -478

```
LaMg2Tl2
1.0
-2.282 2.282 6.301
2.282 -2.282 6.301
2.282 2.282 -6.301
La Mg Tl
1 2 2
Cartesian
0.000 0.000 0.000 La
2.282 0.000 3.151 Mg
0.000 2.282 3.151 Mg
0.000 0.000 4.885 Tl
0.000 0.000 7.718 Tl
```

***

A plane-wave DFT calculation with meta-GGA SCAN was carried out for Mn2FeCo at its PBEsol-relaxed geometry.

Properties
N(E_F) (states/eV/cell): 3.76
Energy relative to the elements (meV/atom): 126
ΔE to the lowest computed polymorph (meV per atom): 201

```
Mn2FeCo
1.0
1.354 -1.972 0.000
1.354 1.972 0.000
0.000 0.000 7.958
Mn Fe Co
2 1 1
Cartesian
0.000 0.000 1.981 Mn
0.000 0.000 5.977 Mn
1.354 0.000 0.000 Fe
1.354 0.000 3.979 Co
```

***

A plane-wave DFT calculation with meta-GGA SCAN was carried out for BRuN2O at its PBEsol-relaxed geometry.

Properties
N(E_F) (states/eV/cell): 2.29
Formation energy without anion corrections (eV per atom): 1.448

```
BRuN2O
1.0
3.745 0.000 0.000
0.000 3.745 0.000
0.000 0.000 3.871
B Ru N O
1 1 2 1
Cartesian
0.000 0.000 0.000 B
1.872 1.872 1.936 Ru
0.000 1.872 1.936 N
1.872 0.000 1.936 N
1.872 1.872 0.000 O
```

***

A plane-wave DFT calculation with meta-GGA SCAN was carried out for CrPt7 at its PBEsol-relaxed geometry.

Properties
N(E_F) (states/eV/cell): 11.82
Energy relative to the elements (meV/atom): -174

```
CrPt7
1.0
0.000 3.892 3.892
3.892 0.000 3.892
3.892 3.892 0.000
Cr Pt
1 7
Cartesian
0.000 0.000 0.000 Cr
1.946 1.946 0.000 Pt
1.946 0.000 1.946 Pt
3.892 1.946 1.946 Pt
0.000 1.946 1.946 Pt
1.946 3.892 1.946 Pt
1.946 1.946 3.892 Pt
3.892 3.892 3.892 Pt
```